TiS3Br | the Alexandria database | GGA-PBE | relaxed; DOS(E_F) = 2.86 states/eV per cell; V = 294 Å³ per cell; E_tot = -5.15 eV/atom
1.0
3.7129 0.6688 1.2070
3.8437 7.8503 3.4274
5.2400 4.1736 13.7436
Ti S Br
2 6 2
Direct
0.5043 0.9039 0.6543
0.4957 0.0961 0.3457
0.8310 0.8315 0.8649
0.9516 0.1105 0.5527
0.0484 0.8895 0.4473
0.0643 0.0278 0.8090
0.9357 0.9722 0.1910
0.1690 0.1685 0.1351
0.9636 0.5380 0.7654
0.0364 0.4620 0.2346